Record 1
Here is OsBrF4 after structural relaxation from Alexandria via LeMat-Bulk. Energies are from GGA-PBE.

a = 10.251 Å, b = 5.061 Å, c = 5.309 Å
α = 90.00°, β = 91.46°, γ = 90.00°
Element x y z (fractional)
Os: 0.000 0.000 0.000
Os: 0.000 0.500 0.500
Br: 0.500 0.000 0.000
Br: 0.500 0.500 0.500
F: 0.061 0.164 0.332
F: 0.061 0.336 0.832
F: 0.168 0.640 0.452
F: 0.168 0.860 0.952
F: 0.832 0.140 0.048
F: 0.832 0.360 0.548
F: 0.939 0.664 0.168
F: 0.939 0.836 0.668

Results
- Energy relative to the elements, uncorrected: -1.10 eV/atom
- Size of the total moment: 6.11 Bohr magnetons per cell
- Density of states at the Fermi level: 9.48 states/eV/cell
- Uncorrected energy: -4.502 eV per atom
- Crystal system: monoclinic

---

Record 2
Here is Cs4ZnAs2Au2 after structural relaxation from Alexandria via LeMat-Bulk. Energies are from GGA-PBE.

a = 7.693 Å, b = 7.693 Å, c = 6.002 Å
α = 91.13°, β = 91.13°, γ = 82.26°
Element x y z (fractional)
Cs: 0.075 0.657 0.735
Cs: 0.343 0.925 0.265
Cs: 0.657 0.075 0.735
Cs: 0.925 0.343 0.265
Zn: 0.500 0.500 0.000
As: 0.416 0.416 0.359
As: 0.584 0.584 0.641
Au: 0.145 0.145 0.766
Au: 0.855 0.855 0.234

Results
- E_form: -0.32 eV/atom
- Size of the total moment: 0.00 Bohr magnetons per cell
- Uncorrected energy: -2.599 eV per atom
- Crystal system: monoclinic

---

Record 3
Here is LaTbCoAu after structural relaxation from Alexandria via LeMat-Bulk. Energies are from GGA-PBE.

a = 5.075 Å, b = 5.075 Å, c = 5.075 Å
α = 60.00°, β = 60.00°, γ = 60.00°
Element x y z (fractional)
La: 0.000 0.000 0.000
Tb: 0.500 0.500 0.500
Co: 0.750 0.750 0.750
Au: 0.250 0.250 0.250

Results
- E_form: -0.35 eV/atom
- Size of the total moment: 0.44 Bohr magnetons per cell
- Density of states at the Fermi level: 4.00 states/eV/cell
- Uncorrected energy: -5.334 eV per atom
- Crystal system: cubic

---

Record 4
Here is Y7RhI12 after structural relaxation from Alexandria via LeMat-Bulk. Energies are from GGA-PBE.

a = 9.792 Å, b = 9.792 Å, c = 9.792 Å
α = 106.86°, β = 106.86°, γ = 106.86°
Element x y z (fractional)
Y: 0.000 0.000 0.000
Y: 0.204 0.478 0.405
Y: 0.405 0.204 0.478
Y: 0.478 0.405 0.204
Y: 0.522 0.595 0.796
Y: 0.595 0.796 0.522
Y: 0.796 0.522 0.595
Rh: 0.500 0.500 0.500
I: 0.037 0.114 0.338
I: 0.114 0.338 0.037
I: 0.173 0.570 0.724
I: 0.276 0.827 0.430
I: 0.338 0.037 0.114
I: 0.430 0.276 0.827
I: 0.570 0.724 0.173
I: 0.662 0.963 0.886
I: 0.724 0.173 0.570
I: 0.827 0.430 0.276
I: 0.886 0.662 0.963
I: 0.963 0.886 0.662

Results
- Energy relative to the elements, uncorrected: -1.25 eV/atom
- Size of the total moment: 0.00 Bohr magnetons per cell
- Density of states at the Fermi level: 7.51 states/eV/cell
- Uncorrected energy: -4.807 eV per atom
- Crystal system: trigonal

---

Record 5
Here is HoMg11Rh after structural relaxation from Alexandria via LeMat-Bulk. Energies are from GGA-PBE.

a = 7.716 Å, b = 7.716 Å, c = 7.618 Å
α = 97.70°, β = 97.70°, γ = 137.04°
Element x y z (fractional)
Ho: 0.000 0.000 0.000
Mg: 0.000 0.000 0.500
Mg: 0.000 0.500 0.000
Mg: 0.031 0.361 0.361
Mg: 0.305 0.507 0.782
Mg: 0.361 0.031 0.361
Mg: 0.493 0.695 0.218
Mg: 0.500 0.000 0.000
Mg: 0.507 0.305 0.782
Mg: 0.639 0.969 0.639
Mg: 0.695 0.493 0.218
Mg: 0.969 0.639 0.639
Rh: 0.500 0.500 0.500

Results
- E_form: -0.11 eV/atom
- Size of the total moment: 0.00 Bohr magnetons per cell
- Density of states at the Fermi level: 6.95 states/eV/cell
- Uncorrected energy: -2.380 eV per atom
- Crystal system: monoclinic

---

Record 6
Here is Re2Pt3Rh4 after structural relaxation from Alexandria via LeMat-Bulk. Energies are from GGA-PBE.

a = 6.163 Å, b = 6.163 Å, c = 6.194 Å
α = 107.45°, β = 107.45°, γ = 36.67°
Element x y z (fractional)
Re: 0.175 0.175 0.002
Re: 0.825 0.825 0.998
Pt: 0.388 0.388 0.333
Pt: 0.500 0.500 0.000
Pt: 0.612 0.612 0.667
Rh: 0.056 0.056 0.322
Rh: 0.281 0.281 0.680
Rh: 0.719 0.719 0.320
Rh: 0.944 0.944 0.678

Results
- E_form: -0.13 eV/atom
- Size of the total moment: 0.00 Bohr magnetons per cell
- Density of states at the Fermi level: 8.32 states/eV/cell
- Uncorrected energy: -8.180 eV per atom
- Crystal system: monoclinic

---

What did the fifth record say?
Here is HoMg11Rh after structural relaxation from Alexandria via LeMat-Bulk. Energies are from GGA-PBE.

a = 7.716 Å, b = 7.716 Å, c = 7.618 Å
α = 97.70°, β = 97.70°, γ = 137.04°
Element x y z (fractional)
Ho: 0.000 0.000 0.000
Mg: 0.000 0.000 0.500
Mg: 0.000 0.500 0.000
Mg: 0.031 0.361 0.361
Mg: 0.305 0.507 0.782
Mg: 0.361 0.031 0.361
Mg: 0.493 0.695 0.218
Mg: 0.500 0.000 0.000
Mg: 0.507 0.305 0.782
Mg: 0.639 0.969 0.639
Mg: 0.695 0.493 0.218
Mg: 0.969 0.639 0.639
Rh: 0.500 0.500 0.500

Results
- E_form: -0.11 eV/atom
- Size of the total moment: 0.00 Bohr magnetons per cell
- Density of states at the Fermi level: 6.95 states/eV/cell
- Uncorrected energy: -2.380 eV per atom
- Crystal system: monoclinic

---

Q: Look up the size of the total moment of the third one.
A: 0.44 Bohr magnetons per cell